This record from Alexandria describes NiSb2Br after structural relaxation. The functional is PBE.

```
4
Lattice="1.804 1.041 8.898 -1.804 1.041 8.898 0.000 -2.083 8.898" Properties=species:S:1:pos:R:3 pbc="T T T"
Ni 0.000 0.000 0.000
Sb 0.000 0.000 12.753
Sb 0.000 0.000 19.300
Br 0.000 0.000 7.503
```

Calculated values
For the uncorrected formation energy, the calculation gives -0.060 eV/atom. The calculation puts the total energy at -3.99 eV per atom. The symmetry is R3m, No. 160. The calculation puts the density of states at the Fermi level at 0.63 states/eV per atom.